Entry 1:
Below is a relaxed KAsIr3 crystal, with properties calculated at the PBE-GGA level.

POSCAR file:
```
KAsIr3
1.0
4.722 0.000 0.000
0.000 4.722 0.000
0.000 0.000 4.722
Ir As K
3 1 1
Direct
0.000 0.500 0.000 Ir
0.000 0.000 0.500 Ir
0.500 0.000 0.000 Ir
0.500 0.500 0.500 As
0.000 0.000 0.000 K
```

SG   Pm-3m, No. 221
Size of the total moment   1.3 μB per formula unit
Mass density   10.89 g/cm3
Formation enthalpy at 0 K   3108.7 meV/atom
Uncorrected energy   -3.36 eV/atom
DOS at the Fermi energy   0.9042 states/eV per atom
Offset from the most stable computed form   2202 meV/atom

---

Entry 2:
Below is a relaxed NdCuIr crystal, with properties calculated at the PBE-GGA level.

POSCAR file:
```
NdCuIr
1.0
-2.242 2.110 -1.628
1.017 -1.290 -3.071
-2.780 -3.788 2.645
Cu Ir Nd
1 1 1
Direct
0.649 0.649 0.298 Cu
0.257 0.257 0.513 Ir
0.944 0.944 0.889 Nd
```

SG   I4mm, No. 107
Size of the total moment   0.0 μB per formula unit
Mass density   11.42 g/cm3
Formation enthalpy at 0 K   -142.2 meV/atom
Uncorrected energy   -6.05 eV/atom
DOS at the Fermi energy   0.8172 states/eV per atom
Offset from the most stable computed form   315 meV/atom

---

Entry 3:
Below is a relaxed Mg2TaW crystal, with properties calculated at the PBE-GGA level.

POSCAR file:
```
Mg2TaW
1.0
3.353 0.000 0.000
0.000 4.408 0.000
0.000 0.000 4.883
Mg Ta W
2 1 1
Direct
0.500 0.500 0.000 Mg
0.000 0.000 0.000 Mg
0.500 0.000 0.500 Ta
0.000 0.500 0.500 W
```

SG   Pmmm, No. 47
Size of the total moment   0.0 μB per formula unit
Mass density   9.51 g/cm3
Formation enthalpy at 0 K   368.9 meV/atom
Uncorrected energy   -6.63 eV/atom
DOS at the Fermi energy   0.8454 states/eV per atom
Offset from the most stable computed form   169 meV/atom

---

Entry 4:
Below is a relaxed TbPrYCu crystal, with properties calculated at the PBE-GGA level.

POSCAR file:
```
TbPrYCu
1.0
-1.421 1.552 2.857
-0.641 -3.190 1.415
7.891 0.125 3.858
Pr Y Tb Cu
1 1 1 1
Direct
0.000 0.000 0.072 Pr
0.500 0.500 0.762 Y
0.500 0.500 0.380 Tb
0.000 0.000 0.571 Cu
```

SG   P4mm, No. 99
Size of the total moment   0.0 μB per formula unit
Mass density   6.79 g/cm3
Formation enthalpy at 0 K   -97.7 meV/atom
Uncorrected energy   -5.09 eV/atom
DOS at the Fermi energy   0.9596 states/eV per atom

---

Entry 5:
Below is a relaxed TlReTe2N crystal, with properties calculated at the PBE-GGA level.

POSCAR file:
```
TlReTe2N
1.0
5.613 0.000 0.000
0.000 5.613 0.000
0.000 0.000 3.764
Tl Te Re N
1 2 1 1
Direct
0.500 0.500 0.500 Tl
0.500 0.000 0.000 Te
0.000 0.500 0.000 Te
0.000 0.000 0.000 Re
0.000 0.000 0.500 N
```

SG   P4/mmm, No. 123
Size of the total moment   0.2 μB per formula unit
Mass density   9.24 g/cm3
Uncorrected energy   -5.67 eV/atom
DOS at the Fermi energy   0.6396 states/eV per atom
Offset from the most stable computed form   0 meV/atom

---

Entry 6:
Below is a relaxed La4AgGeI2 crystal, with properties calculated at the PBE-GGA level.

POSCAR file:
```
La4AgGeI2
1.0
4.433 0.000 0.000
0.000 7.977 0.247
0.000 -2.679 7.436
Ag I Ge La
1 2 1 4
Direct
0.500 0.500 0.000 Ag
0.000 0.500 0.500 I
0.500 0.000 0.500 I
0.000 0.000 0.000 Ge
0.500 0.772 0.785 La
0.000 0.748 0.220 La
0.000 0.252 0.780 La
0.500 0.228 0.215 La
```

SG   P2/m, No. 10
Size of the total moment   0.0 μB per formula unit
Mass density   6.18 g/cm3
Uncorrected energy   -4.61 eV/atom
DOS at the Fermi energy   0.9841 states/eV per atom